Material: SrYO2F
Method: DFT, meta-GGA SCAN
State: PBEsol geometry

```
SrYO2F
1.0
4.257 0.000 0.000
0.000 4.566 0.000
0.000 0.000 4.566
Y Sr O F
1 1 2 1
Cartesian
2.128 2.283 2.283
0.000 0.000 0.000
0.000 0.000 2.283
0.000 2.283 0.000
2.128 0.000 0.000
```

Summary:
- Total moment: 0.0 Bohr magnetons per cell
- Raw total energy: -0.5675 hartree per atom
- Space group: No. 123
- Crystal system: tetragonal
- Uncorrected formation energy: -2.2179 eV per atom